(1)
# Sc2CoSi4Ni3

An optimized crystal structure of Sc2CoSi4Ni3 (PBE, the Alexandria database).

## Properties
- uncorrected formation energy (kJ per mole of atoms) = -75.28
- crystal system = tetragonal
- D(E_F) (states/eV/atom) = 0.525
- magnetic moment (μB/f.u.) = 0.00
- E_tot (eV/cell) = -66.61

a b c (Å): 3.762 3.762 9.743
angles (deg): 90.00 90.00 90.00
Fractional positions:
Sc 0.000 0.500 0.249
Sc 0.500 0.000 0.751
Co 0.500 0.500 0.000
Si 0.000 0.000 0.500
Si 0.000 0.500 0.866
Si 0.500 0.000 0.134
Si 0.500 0.500 0.500
Ni 0.000 0.000 0.000
Ni 0.000 0.500 0.636
Ni 0.500 0.000 0.364



(2)
# Sc5In2Co2Au

An optimized crystal structure of Sc5In2Co2Au (PBE, the Alexandria database).

## Properties
- crystal system = tetragonal
- D(E_F) (states/eV/atom) = 0.556
- DFT formation energy (eV per atom) = -0.465
- magnetic moment (μB/f.u.) = 0.00
- E_tot (eV/cell) = -118.55

a b c (Å): 10.857 10.857 3.343
angles (deg): 90.00 90.00 90.00
Fractional positions:
Sc 0.000 0.500 0.000
Sc 0.074 0.206 0.000
Sc 0.206 0.926 0.000
Sc 0.294 0.426 0.000
Sc 0.426 0.706 0.000
Sc 0.500 0.000 0.000
Sc 0.574 0.294 0.000
Sc 0.706 0.574 0.000
Sc 0.794 0.074 0.000
Sc 0.926 0.794 0.000
In 0.172 0.672 0.500
In 0.328 0.172 0.500
In 0.672 0.828 0.500
In 0.828 0.328 0.500
Co 0.132 0.368 0.500
Co 0.368 0.868 0.500
Co 0.632 0.132 0.500
Co 0.868 0.632 0.500
Au 0.000 0.000 0.500
Au 0.500 0.500 0.500



(3)
# Al3GaN4

An optimized crystal structure of Al3GaN4 (PBE, the Alexandria database).

## Properties
- uncorrected formation energy (kJ per mole of atoms) = -113.21
- crystal system = monoclinic
- energy relative to the lowest polymorph listed for this composition (meV per atom) = 3
- D(E_F) (states/eV/atom) = 0.000
- magnetic moment (μB/f.u.) = 0.00
- E_tot (eV/cell) = -56.94

a b c (Å): 5.080 3.149 5.453
angles (deg): 90.00 90.03 90.00
Fractional positions:
Al 0.000 0.000 0.000
Al 0.000 0.500 0.496
Al 0.500 0.000 0.332
Ga 0.499 0.500 0.831
N 0.109 0.500 0.831
N 0.122 0.000 0.332
N 0.623 0.500 0.490
N 0.625 0.000 0.006



(4)
# La2AlP

An optimized crystal structure of La2AlP (PBE, the Alexandria database).

## Properties
- crystal system = tetragonal
- energy relative to the lowest polymorph listed for this composition (meV per atom) = 430
- D(E_F) (states/eV/atom) = 0.863
- DFT formation energy (eV per atom) = -0.402
- magnetic moment (μB/f.u.) = 0.00
- E_tot (eV/cell) = -20.61

a b c (Å): 3.470 3.470 8.626
angles (deg): 90.00 90.00 90.00
Fractional positions:
La 0.000 0.000 0.000
La 0.500 0.500 0.397
Al 0.500 0.500 0.749
P 0.000 0.000 0.632



(5)
# LiCeCd2Hg4

An optimized crystal structure of LiCeCd2Hg4 (PBE, the Alexandria database).

## Properties
- crystal system = trigonal
- D(E_F) (states/eV/atom) = 1.107
- DFT formation energy (eV per atom) = -0.256
- magnetic moment (μB/f.u.) = 0.79
- E_tot (eV/cell) = -12.93

a b c (Å): 8.941 8.941 8.941
angles (deg): 32.69 32.69 32.69
Fractional positions:
Li 0.000 0.000 0.000
Ce 0.500 0.500 0.500
Cd 0.248 0.248 0.248
Cd 0.752 0.752 0.752
Hg 0.115 0.115 0.115
Hg 0.369 0.369 0.369
Hg 0.631 0.631 0.631
Hg 0.885 0.885 0.885



> What is the formula in the fourth record?

La2AlP